Record 1
P2PbCl: relaxed, GGA-PBE.

Output
crystal system = orthorhombic
polymorph energy (0 for the lowest one) = 0.2149 eV/atom
raw formation energy = -0.017 eV per atom

a = 4.040 Å, b = 4.040 Å, c = 9.987 Å
α = 90.00°, β = 90.00°, γ = 130.80°
Positions (direct):
Pb (0.000, 0.000, 0.492)
P (0.000, 0.000, 0.084)
P (0.500, 0.500, 0.220)
Cl (0.500, 0.500, 0.704)

=====

Record 2
Y2NiAs4Rh3: relaxed, GGA-PBE.

Output
crystal system = tetragonal
ΔH_f (0 K) = -8.23 eV per formula unit

a = 4.222 Å, b = 4.222 Å, c = 9.994 Å
α = 90.00°, β = 90.00°, γ = 90.00°
Positions (direct):
Y (0.500, 0.000, 0.256)
Y (0.000, 0.500, 0.744)
As (0.500, 0.500, 0.000)
As (0.000, 0.500, 0.369)
As (0.000, 0.000, 0.000)
As (0.500, 0.000, 0.631)
Rh (0.500, 0.000, 0.872)
Rh (0.000, 0.500, 0.128)
Rh (0.000, 0.000, 0.500)
Ni (0.500, 0.500, 0.500)

=====

Record 3
ZrCoSb2: relaxed, GGA-PBE.

Output
crystal system = monoclinic
raw formation energy = -0.103 eV per atom

a = 4.065 Å, b = 3.336 Å, c = 6.121 Å
α = 88.27°, β = 90.00°, γ = 90.00°
Last column: magnetic moment on the atom in μB.
Positions (direct):
Co (0.500, 0.750, 0.750)  0.72
Sb (0.000, 0.728, 0.505)  0.00
Sb (0.000, 0.772, 0.995)  0.00
Zr (0.500, 0.250, 0.250)  0.01

=====

Record 4
Zr3TaPd: relaxed, GGA-PBE.

Output
crystal system = cubic
polymorph energy (0 for the lowest one) = 0.1773 eV/atom
ΔH_f (0 K) = 4.93 eV per formula unit

a = 5.078 Å, b = 5.078 Å, c = 5.078 Å
α = 90.00°, β = 90.00°, γ = 90.00°
Positions (direct):
Ta (0.000, 0.000, 0.000)
Zr (0.000, 0.500, 0.000)
Zr (0.500, 0.000, 0.000)
Zr (0.000, 0.000, 0.500)
Pd (0.500, 0.500, 0.500)

=====

Record 5
LaGa2GeIr: relaxed, GGA-PBE.

Output
crystal system = orthorhombic
ΔH_f (0 K) = -2.93 eV per formula unit

a = 4.226 Å, b = 4.159 Å, c = 6.277 Å
α = 109.35°, β = 109.67°, γ = 90.00°
Positions (direct):
La (0.440, 0.440, 0.879)
Ge (0.827, 0.827, 0.654)
Ir (0.197, 0.697, 0.394)
Ga (0.688, 0.188, 0.376)
Ga (0.061, 0.061, 0.121)

=====

Record 6
Hf2MgTlRe: relaxed, GGA-PBE.

Output
crystal system = tetragonal
ΔH_f (0 K) = 3.06 eV per formula unit

a = 5.034 Å, b = 5.229 Å, c = 5.034 Å
α = 90.00°, β = 90.00°, γ = 90.00°
Positions (direct):
Hf (0.500, 0.000, 0.000)
Hf (0.000, 0.000, 0.500)
Tl (0.500, 0.500, 0.500)
Mg (0.000, 0.500, 0.000)
Re (0.000, 0.000, 0.000)

=====

Sequential density output: 4.099 7.874 7.879 7.116 9.278 9.672 g/cm³